1.
VASP calculation (PBE) on a relaxed structure of Sc2CrCu.

Values from the calculation:
Polymorph energy (0 for the lowest one), meV/atom: 140
M_tot, μB/f.u.: 2.93
Raw total energy, eV per atom: -6.4407
Calculated formation energy, eV/atom: 0.155
D(E_F), states/eV/f.u.: 4.0

```
data_Sc2CrCu
_chemical_formula_sum 'Sc2 Cr1 Cu1'
_symmetry_space_group_name_H-M 'P 4 m m'
_symmetry_Int_Tables_number 99
_cell_length_a 3.257
_cell_length_b 3.257
_cell_length_c 7.006
_cell_angle_alpha 90.00
_cell_angle_beta 90.00
_cell_angle_gamma 90.00
loop_
_symmetry_equiv_pos_as_xyz
'x,y,z'
'-y,x,z'
'-x,-y,z'
'y,-x,z'
'-x,y,z'
'y,x,z'
'x,-y,z'
'-y,-x,z'
loop_
_atom_site_label
_atom_site_fract_x
_atom_site_fract_y
_atom_site_fract_z
Sc1 0.000 0.000 0.000
Sc2 0.500 0.500 0.351
Cr1 0.000 0.000 0.596
Cu1 0.500 0.500 0.781
```

2.
VASP calculation (PBE) on a relaxed structure of Ca2AsH.

Values from the calculation:
Polymorph energy (0 for the lowest one), meV/atom: 157
M_tot, μB/f.u.: 0.00
Raw total energy, eV per atom: -3.7955

```
data_Ca2AsH
_chemical_formula_sum 'Ca6 As3 H3'
_symmetry_space_group_name_H-M 'R -3 m'
_symmetry_Int_Tables_number 166
_symmetry_space_group_name_Hall '-R 3 2"'
_cell_length_a 4.2620
_cell_length_b 4.2620
_cell_length_c 17.5138
_cell_angle_alpha 90.00
_cell_angle_beta 90.00
_cell_angle_gamma 120.00
loop_
_atom_site_label
_atom_site_fract_x
_atom_site_fract_y
_atom_site_fract_z
Ca1 0.0000 0.0000 0.2488
As1 0.0000 0.0000 0.0000
H1 0.0000 0.0000 0.5000
```

3.
VASP calculation (PBE) on a relaxed structure of TaHg2Sb.

Values from the calculation:
M_tot, μB/f.u.: 0.00
Raw total energy, eV per atom: -3.6116
D(E_F), states/eV/f.u.: 3.2
Formation energy from raw total energies, eV per atom: 0.533

```
data_TaHg2Sb
_chemical_formula_sum 'Ta1 Hg2 Sb1'
_symmetry_space_group_name_H-M 'P 4/m m m'
_symmetry_Int_Tables_number 123
_symmetry_space_group_name_Hall '-P 4 2'
_cell_length_a 4.161
_cell_length_b 4.161
_cell_length_c 5.022
_cell_angle_alpha 90.00
_cell_angle_beta 90.00
_cell_angle_gamma 90.00
loop_
_atom_site_label
_atom_site_fract_x
_atom_site_fract_y
_atom_site_fract_z
Ta1 0.000 0.000 0.000
Hg1 0.000 0.500 0.500
Sb1 0.500 0.500 0.000
```

4.
VASP calculation (PBE) on a relaxed structure of PmNdPa2P4.

Values from the calculation:
M_tot, μB/f.u.: 0.00
Raw total energy, eV per atom: -7.7042
Calculated formation energy, eV/atom: -1.435
D(E_F), states/eV/f.u.: 6.3

```
data_PmNdPa2P4
_chemical_formula_sum 'Pm1 Nd1 Pa2 P4'
_symmetry_space_group_name_H-M 'P 1 2/m 1'
_symmetry_Int_Tables_number 10
_cell_length_a 7.007
_cell_length_b 4.046
_cell_length_c 7.030
_cell_angle_alpha 90.00
_cell_angle_beta 109.41
_cell_angle_gamma 90.00
loop_
_symmetry_equiv_pos_as_xyz
'x,y,z'
'-x,-y,-z'
'-x,y,-z'
'x,-y,z'
loop_
_atom_site_label
_atom_site_fract_x
_atom_site_fract_y
_atom_site_fract_z
Pm1 0.000 0.000 0.000
Nd1 0.500 0.500 0.000
Pa1 0.000 0.500 0.500
Pa2 0.500 0.000 0.500
P1 0.244 0.000 0.734
P2 0.254 0.500 0.265
```

5.
VASP calculation (PBE) on a relaxed structure of K2MnHgPb.

Values from the calculation:
M_tot, μB/f.u.: 4.76
Raw total energy, eV per atom: -2.4651
Calculated formation energy, eV/atom: 0.610
D(E_F), states/eV/f.u.: 5.5

```
data_K2MnHgPb
_chemical_formula_sum 'K2 Mn1 Hg1 Pb1'
_symmetry_space_group_name_H-M 'P 4/m m m'
_symmetry_Int_Tables_number 123
_symmetry_space_group_name_Hall '-P 4 2'
_cell_length_a 6.375
_cell_length_b 6.375
_cell_length_c 5.776
_cell_angle_alpha 90.00
_cell_angle_beta 90.00
_cell_angle_gamma 90.00
loop_
_atom_site_label
_atom_site_fract_x
_atom_site_fract_y
_atom_site_fract_z
K1 0.000 0.500 0.000
Mn1 0.000 0.000 0.500
Hg1 0.500 0.500 0.000
Pb1 0.500 0.500 0.500
```

6.
VASP calculation (PBE) on a relaxed structure of Ac2La6Dy.

Values from the calculation:
M_tot, μB/f.u.: 0.00
Raw total energy, eV per atom: -4.6431
Calculated formation energy, eV/atom: 0.066
D(E_F), states/eV/f.u.: 15.0

```
data_Ac2La6Dy
_chemical_formula_sum 'Ac8 La24 Dy4'
_symmetry_space_group_name_H-M 'C 1 2/c 1'
_symmetry_Int_Tables_number 15
_cell_length_a 15.739
_cell_length_b 10.357
_cell_length_c 9.434
_cell_angle_alpha 90.00
_cell_angle_beta 117.53
_cell_angle_gamma 90.00
loop_
_symmetry_equiv_pos_as_xyz
'x,y,z'
'-x,-y,-z'
'-x,y,-z+1/2'
'x,-y,z+1/2'
'x+1/2,y+1/2,z'
'-x+1/2,-y+1/2,-z'
'-x+1/2,y+1/2,-z+1/2'
'x+1/2,-y+1/2,z+1/2'
loop_
_atom_site_label
_atom_site_fract_x
_atom_site_fract_y
_atom_site_fract_z
Ac1 0.091 0.087 0.172
La1 0.081 0.432 0.167
La2 0.164 0.246 0.581
La3 0.238 0.413 0.993
Dy1 0.000 0.244 0.750
```

7.
VASP calculation (PBE) on a relaxed structure of Cu2SiTe.

Values from the calculation:
Polymorph energy (0 for the lowest one), meV/atom: 283
M_tot, μB/f.u.: 0.00
Raw total energy, eV per atom: -3.8415
D(E_F), states/eV/f.u.: 1.8
Formation energy from raw total energies, eV per atom: 0.348

```
data_Cu2SiTe
_chemical_formula_sum 'Cu2 Si1 Te1'
_symmetry_space_group_name_H-M 'P m m m'
_symmetry_Int_Tables_number 47
_cell_length_a 2.921
_cell_length_b 3.582
_cell_length_c 6.618
_cell_angle_alpha 90.00
_cell_angle_beta 90.00
_cell_angle_gamma 90.00
loop_
_symmetry_equiv_pos_as_xyz
'x,y,z'
'-x,-y,-z'
'-x,-y,z'
'x,y,-z'
'x,-y,-z'
'-x,y,z'
'-x,y,-z'
'x,-y,z'
loop_
_atom_site_label
_atom_site_fract_x
_atom_site_fract_y
_atom_site_fract_z
Cu1 0.000 0.000 0.188
Si1 0.500 0.500 0.000
Te1 0.500 0.500 0.500
```

8.
VASP calculation (PBE) on a relaxed structure of YPdO2F.

Values from the calculation:
M_tot, μB/f.u.: 0.00
Raw total energy, eV per atom: -6.1390
D(E_F), states/eV/f.u.: 2.1
Formation energy from raw total energies, eV per atom: -1.450

```
data_YPdO2F
_chemical_formula_sum 'Y1 Pd1 O2 F1'
_symmetry_space_group_name_H-M 'P 4/m m m'
_symmetry_Int_Tables_number 123
_symmetry_space_group_name_Hall '-P 4 2'
_cell_length_a 4.114
_cell_length_b 4.114
_cell_length_c 4.064
_cell_angle_alpha 90.00
_cell_angle_beta 90.00
_cell_angle_gamma 90.00
loop_
_atom_site_label
_atom_site_fract_x
_atom_site_fract_y
_atom_site_fract_z
Y1 0.000 0.000 0.000
Pd1 0.500 0.500 0.500
O1 0.000 0.500 0.500
F1 0.500 0.500 0.000
```

What is the M_tot in the fifth record? 4.76 μB/f.u.

Among the records above, which one has the lowest raw total energy? PmNdPa2P4

Among the records above, which one has the lowest raw total energy? PmNdPa2P4

Please write out number 3 again, unchanged.
VASP calculation (PBE) on a relaxed structure of TaHg2Sb.

Values from the calculation:
M_tot, μB/f.u.: 0.00
Raw total energy, eV per atom: -3.6116
D(E_F), states/eV/f.u.: 3.2
Formation energy from raw total energies, eV per atom: 0.533

```
data_TaHg2Sb
_chemical_formula_sum 'Ta1 Hg2 Sb1'
_symmetry_space_group_name_H-M 'P 4/m m m'
_symmetry_Int_Tables_number 123
_symmetry_space_group_name_Hall '-P 4 2'
_cell_length_a 4.161
_cell_length_b 4.161
_cell_length_c 5.022
_cell_angle_alpha 90.00
_cell_angle_beta 90.00
_cell_angle_gamma 90.00
loop_
_atom_site_label
_atom_site_fract_x
_atom_site_fract_y
_atom_site_fract_z
Ta1 0.000 0.000 0.000
Hg1 0.000 0.500 0.500
Sb1 0.500 0.500 0.000
```